[1]
A relaxed structure of WAuCl2, computed with GGA-PBE.

Its formation energy from raw total energies is 0.257 eV per atom. The relative energy among the computed polymorphs comes out at 1.28 eV per formula unit. The final energy is -4.724 eV per atom.

It has space group P4mm (No. 99), with a = 3.0406 Å, b = 3.0406 Å, c = 8.3258 Å, α = 90.00°, β = 90.00° and γ = 90.00°. The inequivalent atoms are W at (0.0000, 0.0000, 0.0000), Au at (0.5000, 0.5000, 0.2186), Cl at (0.0000, 0.0000, 0.4369) and Cl at (0.5000, 0.5000, 0.8165).

***

[2]
A relaxed structure of CaReAg, computed with GGA-PBE.

The relative energy among the computed polymorphs comes out at 0.38 eV per formula unit. As for the formation energy from the elements: 0.73 eV per atom. The final energy is -5.038 eV per atom.

It has space group P3m1 (No. 156), with a = 2.9197 Å, b = 2.9197 Å, c = 7.6361 Å, α = 90.00°, β = 90.00° and γ = 120.00°. The inequivalent atoms are Ca at (0.0000, 0.0000, 0.0000), Re at (0.6667, 0.3333, 0.3296) and Ag at (0.3333, 0.6667, 0.6467).

***

[3]
A relaxed structure of TlGeIr3, computed with GGA-PBE.

The relative energy among the computed polymorphs comes out at 0.00 eV per formula unit. As for the formation energy from the elements: 0.98 eV per atom. The final energy is -5.732 eV per atom.

It has space group Pm-3m (No. 221), with a = 4.6038 Å, b = 4.6038 Å, c = 4.6038 Å, α = 90.00°, β = 90.00° and γ = 90.00°. The inequivalent atoms are Tl at (0.0000, 0.0000, 0.0000), Ge at (0.5000, 0.5000, 0.5000) and Ir at (0.0000, 0.5000, 0.5000).

***

[4]
A relaxed structure of Tb2PmMg4, computed with GGA-PBE.

The relative energy among the computed polymorphs comes out at 1.59 eV per formula unit. As for the formation energy from the elements: 0.36 eV per atom. The final energy is -2.555 eV per atom.

It has space group Cmmm (No. 65), with a = 6.0030 Å, b = 12.9613 Å, c = 5.5208 Å, α = 90.00°, β = 90.00° and γ = 90.00°. The inequivalent atoms are Tb at (0.0000, 0.1336, 0.0000), Pm at (0.0000, 0.5000, 0.5000), Mg at (0.0000, 0.2526, 0.5000) and Mg at (0.0000, 0.3807, 0.0000).

***

Summary of size of the total moment in μB/atom
0.000, 0.000, 0.000, 0.000
(order as listed above)